Here is Zn2HgAs after structural relaxation from Alexandria via LeMat-Bulk. Energies are from PBE.

Values from the calculation:
Energy of formation in eV per atom: 0.19
Density of states at the Fermi level in states/eV/cell: 1.63
Symmetry: P4mm, No. 99

Unit cell a=2.9568 b=2.9568 c=8.9887 alpha=90.00 beta=90.00 gamma=90.00
Closest atoms and distances in Å follow each position.
Atoms (fractional coordinates):
Zn (0.0000, 0.0000, 0.0000)  8 Zn 2.76-2.96
Zn (0.5000, 0.5000, 0.2000)  8 Zn 2.76-2.96, 4 As 2.81
Hg (0.5000, 0.5000, 0.7346)  4 Hg 2.96, 4 Zn 3.17
As (0.0000, 0.0000, 0.4091)  4 Zn 2.81, 4 As 2.96

Here is ZnHg2As after structural relaxation from Alexandria via LeMat-Bulk. Energies are from PBE.

Values from the calculation:
Excess energy over the best structure of this formula in the dataset in meV/atom: 115
Energy of formation in eV per atom: 0.14
Density of states at the Fermi level in states/eV/cell: 1.75
Symmetry: P4mm, No. 99

Unit cell a=3.4847 b=3.4847 c=8.2967 alpha=90.00 beta=90.00 gamma=90.00
Closest atoms and distances in Å follow each position.
Atoms (fractional coordinates):
Zn (0.0000, 0.0000, 0.0000)  4 As 2.58, 1 Hg 2.66
Hg (0.0000, 0.0000, 0.3209)  1 Zn 2.66
Hg (0.5000, 0.5000, 0.5717)  1 As 2.77
As (0.5000, 0.5000, 0.9062)  4 Zn 2.58, 1 Hg 2.77

Here is Zn3HgAs after structural relaxation from Alexandria via LeMat-Bulk. Energies are from PBE.

Values from the calculation:
Excess energy over the best structure of this formula in the dataset in meV/atom: 362
Energy of formation in eV per atom: 0.65
Density of states at the Fermi level in states/eV/cell: 3.53
Symmetry: Pm-3m, No. 221

Unit cell a=4.9759 b=4.9759 c=4.9759 alpha=90.00 beta=90.00 gamma=90.00
Closest atoms and distances in Å follow each position.
Atoms (fractional coordinates):
Zn (0.0000, 0.0000, 0.5000)  2 Hg 2.49
Zn (0.0000, 0.5000, 0.0000)  2 Hg 2.49
Zn (0.5000, 0.0000, 0.0000)  2 Hg 2.49
Hg (0.0000, 0.0000, 0.0000)  6 Zn 2.49
As (0.5000, 0.5000, 0.5000)  12 Zn 3.52